No. 1
{
  "formula": "TeC",
  "functional": "PBE",
  "state": "optimized geometry",
  "lattice": [[-0.2618, 2.2835, -3.4889], [-1.6777, -3.8243, 0.1244], [-4.5630, 2.0566, 1.6885]],
  "species": ["C", "C", "Te", "Te"],
  "fractional_positions": [[0.3333, 0.6667, 0.3354], [0.6667, 0.3333, 0.8354], [0.3333, 0.6667, 0.7466], [0.6667, 0.3333, 0.2466]],
  "magnetic_moment_mub_per_fu": 0.00,
  "crystal_system": "hexagonal",
  "energy_ev_per_fu": -8.8
}

No. 2
{
  "formula": "Te5C4",
  "functional": "PBE",
  "state": "optimized geometry",
  "lattice": [[-4.2668, 4.2668, 3.1596], [4.2668, -4.2668, 3.1596], [4.2668, 4.2668, -3.1596]],
  "species": ["C", "C", "C", "C", "Te", "Te", "Te", "Te", "Te"],
  "fractional_positions": [[0.0000, 0.7551, 0.7551], [0.0000, 0.2449, 0.2449], [0.2449, 0.0000, 0.2449], [0.7551, 0.0000, 0.7551], [0.7442, 0.2558, 0.0000], [0.2558, 0.7442, 0.0000], [0.2558, 0.2558, 0.5116], [0.0000, 0.0000, 0.0000], [0.7442, 0.7442, 0.4884]],
  "magnetic_moment_mub_per_fu": 0.00,
  "crystal_system": "tetragonal",
  "energy_ev_per_fu": -35.8
}

No. 3
{
  "formula": "Te4C",
  "functional": "PBE",
  "state": "optimized geometry",
  "lattice": [[4.8961, 0.0000, 0.0000], [0.0000, 4.8961, 0.0000], [0.0000, 0.0000, 4.8961]],
  "species": ["Te", "Te", "Te", "Te", "C"],
  "fractional_positions": [[0.5000, 0.0000, 0.5000], [0.0000, 0.5000, 0.5000], [0.5000, 0.5000, 0.0000], [0.0000, 0.0000, 0.0000], [0.5000, 0.5000, 0.5000]],
  "magnetic_moment_mub_per_fu": 0.00,
  "crystal_system": "cubic",
  "energy_ev_per_fu": -16.8
}

No. 4
{
  "formula": "Te3C4",
  "functional": "PBE",
  "state": "optimized geometry",
  "lattice": [[-4.0204, 10.9284, 0.6738], [-1.5922, 10.9651, -3.6441], [0.7352, -11.6365, 0.3145]],
  "species": ["Te", "Te", "Te", "C", "C", "C", "C"],
  "fractional_positions": [[0.0000, 0.0000, 0.0000], [0.3059, 0.3059, 0.0000], [0.6941, 0.6941, 0.0000], [0.7888, 0.7888, 0.0000], [0.2112, 0.2112, 0.0000], [0.5293, 0.5293, 0.0000], [0.4707, 0.4707, 0.0000]],
  "magnetic_moment_mub_per_fu": 0.00,
  "crystal_system": "tetragonal",
  "energy_ev_per_fu": -33.6
}

No. 5
{
  "formula": "TeC2",
  "functional": "PBE",
  "state": "optimized geometry",
  "lattice": [[1.7527, -3.0357, 0.0000], [1.7527, 3.0357, 0.0000], [0.0000, 0.0000, 7.8567]],
  "species": ["C", "C", "C", "C", "Te", "Te"],
  "fractional_positions": [[0.3333, 0.6667, 0.8368], [0.6667, 0.3333, 0.1632], [0.6667, 0.3333, 0.3368], [0.3333, 0.6667, 0.6632], [0.0000, 0.0000, 0.5000], [0.0000, 0.0000, 0.0000]],
  "magnetic_moment_mub_per_fu": 0.00,
  "crystal_system": "hexagonal",
  "energy_ev_per_fu": -17.1
}

No. 6
{
  "formula": "TeC",
  "functional": "PBE",
  "state": "optimized geometry",
  "lattice": [[5.2360, 0.0000, 0.0000], [0.0000, 5.3108, 0.0000], [0.0000, 0.0000, 10.6162]],
  "species": ["Te", "Te", "Te", "Te", "Te", "Te", "Te", "Te", "C", "C", "C", "C", "C", "C", "C", "C"],
  "fractional_positions": [[0.2629, 0.5116, 0.4858], [0.2307, 0.0771, 0.2377], [0.7629, 0.9884, 0.5142], [0.7307, 0.4229, 0.7623], [0.2371, 0.4884, 0.9858], [0.7371, 0.0116, 0.0142], [0.7693, 0.5771, 0.2623], [0.2693, 0.9229, 0.7377], [0.6625, 0.0241, 0.7121], [0.8375, 0.9759, 0.2121], [0.8333, 0.3941, 0.9612], [0.1667, 0.8941, 0.5388], [0.1625, 0.4759, 0.2879], [0.6667, 0.6059, 0.4612], [0.3375, 0.5241, 0.7879], [0.3333, 0.1059, 0.0388]],
  "magnetic_moment_mub_per_fu": 0.00,
  "crystal_system": "orthorhombic",
  "energy_ev_per_fu": -9.2
}

No. 7
{
  "formula": "Te2C",
  "functional": "PBE",
  "state": "optimized geometry",
  "lattice": [[-4.0759, -2.2297, 2.4543], [0.9329, -1.0803, -5.0567], [1.7372, -2.2854, 0.8087]],
  "species": ["Te", "Te", "C"],
  "fractional_positions": [[0.3333, 0.6667, 0.5000], [0.6667, 0.3333, 0.5000], [0.0000, 0.0000, 0.0000]],
  "magnetic_moment_mub_per_fu": 0.88,
  "crystal_system": "hexagonal",
  "energy_ev_per_fu": -8.8
}

No. 8
{
  "formula": "TeC",
  "functional": "PBE",
  "state": "optimized geometry",
  "lattice": [[4.7700, -0.0363, 0.0000], [-3.6230, 3.1029, 0.0000], [0.0000, 0.0000, 8.6692]],
  "species": ["Te", "Te", "C", "C"],
  "fractional_positions": [[0.5000, 0.5000, 0.1441], [0.0000, 0.0000, 0.6059], [0.0000, 0.0000, 0.9996], [0.5000, 0.5000, 0.7504]],
  "magnetic_moment_mub_per_fu": 0.00,
  "crystal_system": "orthorhombic",
  "energy_ev_per_fu": -8.4
}

No. 9
{
  "formula": "TeC2",
  "functional": "PBE",
  "state": "optimized geometry",
  "lattice": [[-5.1851, -1.7465, 1.3964], [-1.3346, -4.8987, 2.4713], [3.5103, 4.4088, 0.3546]],
  "species": ["C", "C", "Te"],
  "fractional_positions": [[0.0656, 0.0656, 0.0000], [0.9344, 0.9344, 0.0000], [0.5000, 0.5000, 0.0000]],
  "magnetic_moment_mub_per_fu": 0.00,
  "crystal_system": "tetragonal",
  "energy_ev_per_fu": -15.4
}

No. 10
{
  "formula": "TeC2",
  "functional": "PBE",
  "state": "optimized geometry",
  "lattice": [[-2.4928, 2.4928, 3.0824], [2.4928, -2.4928, 3.0824], [2.4928, 2.4928, -3.0824]],
  "species": ["C", "C", "C", "C", "Te", "Te"],
  "fractional_positions": [[0.0946, 0.4054, 0.5000], [0.5946, 0.0946, 0.6892], [0.4054, 0.9054, 0.3108], [0.9054, 0.5946, 0.5000], [0.7500, 0.7500, 0.0000], [0.2500, 0.2500, 0.0000]],
  "magnetic_moment_mub_per_fu": 0.00,
  "crystal_system": "tetragonal",
  "energy_ev_per_fu": -16.3
}

No. 11
{
  "formula": "TeC2",
  "functional": "PBE",
  "state": "optimized geometry",
  "lattice": [[-1.6655, 0.1151, 2.9121], [-1.6523, -0.6211, -2.8550], [0.5764, -3.7254, 0.4769]],
  "species": ["C", "C", "Te"],
  "fractional_positions": [[0.3333, 0.6666, 0.6668], [0.6667, 0.3334, 0.3332], [0.0000, 0.0000, 0.0000]],
  "magnetic_moment_mub_per_fu": 0.00,
  "crystal_system": "trigonal",
  "energy_ev_per_fu": -13.9
}

No. 12
{
  "formula": "TeC",
  "functional": "PBE",
  "state": "optimized geometry",
  "lattice": [[-0.5087, -2.3732, -2.4954], [4.7893, -2.9694, 1.8476], [-4.2988, -4.0133, 4.6931]],
  "species": ["C", "C", "C", "C", "Te", "Te", "Te", "Te"],
  "fractional_positions": [[0.2500, 0.1309, 0.6170], [0.2500, 0.3691, 0.1170], [0.7500, 0.6309, 0.8830], [0.7500, 0.8691, 0.3830], [0.7500, 0.2272, 0.4557], [0.2500, 0.7728, 0.5443], [0.7500, 0.2728, 0.9557], [0.2500, 0.7272, 0.0443]],
  "magnetic_moment_mub_per_fu": 0.00,
  "crystal_system": "orthorhombic",
  "energy_ev_per_fu": -9.0
}

No. 13
{
  "formula": "TeC",
  "functional": "PBE",
  "state": "optimized geometry",
  "lattice": [[3.2874, 0.0000, 0.0000], [0.0000, 7.2628, 0.0000], [0.0000, 0.0000, 3.8488]],
  "species": ["Te", "Te", "C", "C"],
  "fractional_positions": [[0.5000, 0.0000, 0.5655], [0.5000, 0.5000, 0.7678], [0.0000, 0.0000, 0.2315], [0.0000, 0.5000, 0.1018]],
  "magnetic_moment_mub_per_fu": 0.00,
  "crystal_system": "orthorhombic",
  "energy_ev_per_fu": -8.6
}

No. 14
{
  "formula": "TeC",
  "functional": "PBE",
  "state": "optimized geometry",
  "lattice": [[-1.7429, 1.9916, -1.0027], [-0.5510, -1.2435, 2.4818], [13.6428, 18.0058, 12.0510]],
  "species": ["C", "C", "C", "C", "Te", "Te", "Te", "Te"],
  "fractional_positions": [[0.0000, 0.0000, 0.2500], [0.3333, 0.6667, 0.7500], [0.6667, 0.3333, 0.2500], [0.0000, 0.0000, 0.7500], [0.6667, 0.3333, 0.9152], [0.3333, 0.6667, 0.4152], [0.3333, 0.6667, 0.0848], [0.6667, 0.3333, 0.5848]],
  "magnetic_moment_mub_per_fu": 0.00,
  "crystal_system": "hexagonal",
  "energy_ev_per_fu": -10.2
}

No. 15
{
  "formula": "TeC2",
  "functional": "PBE",
  "state": "optimized geometry",
  "lattice": [[-1.1099, 3.0652, -2.6866], [-2.0001, -2.8357, -2.4090], [-4.8266, 0.8686, 2.9849]],
  "species": ["Te", "Te", "C", "C", "C", "C"],
  "fractional_positions": [[0.0000, 0.5000, 0.1894], [0.5000, 0.0000, 0.8106], [0.0000, 0.0000, 0.0000], [0.0000, 0.5000, 0.8223], [0.5000, 0.0000, 0.1777], [0.5000, 0.5000, 0.0000]],
  "magnetic_moment_mub_per_fu": 0.00,
  "crystal_system": "tetragonal",
  "energy_ev_per_fu": -13.0
}

No. 16
{
  "formula": "TeC",
  "functional": "PBE",
  "state": "optimized geometry",
  "lattice": [[6.6589, 0.2147, -0.7917], [5.6885, 5.0350, -0.8560], [-6.3547, -2.7089, 3.2745]],
  "species": ["C", "C", "Te", "Te"],
  "fractional_positions": [[0.4009, 0.3171, 0.5838], [0.5991, 0.6829, 0.4162], [0.1284, 0.1500, 0.4784], [0.8716, 0.8500, 0.5216]],
  "magnetic_moment_mub_per_fu": 0.00,
  "crystal_system": "monoclinic",
  "energy_ev_per_fu": -9.1
}

No. 17
{
  "formula": "Te2C",
  "functional": "PBE",
  "state": "optimized geometry",
  "lattice": [[-0.9659, 0.2293, -3.6181], [-2.5816, -0.8716, 2.5792], [-1.0753, 4.9660, 0.6018]],
  "species": ["Te", "Te", "C"],
  "fractional_positions": [[0.6667, 0.3333, 0.7213], [0.3333, 0.6667, 0.2787], [0.0000, 0.0000, 0.0000]],
  "magnetic_moment_mub_per_fu": 0.00,
  "crystal_system": "trigonal",
  "energy_ev_per_fu": -11.3
}

No. 18
{
  "formula": "TeC2",
  "functional": "PBE",
  "state": "optimized geometry",
  "lattice": [[1.3896, -9.3930, 0.0000], [1.3896, 9.3930, 0.0000], [0.0000, 0.0000, 3.5737]],
  "species": ["C", "C", "C", "C", "Te", "Te"],
  "fractional_positions": [[0.5000, 0.5000, 0.5000], [0.7494, 0.2506, 0.5000], [0.2506, 0.7494, 0.5000], [0.0000, 0.0000, 0.0000], [0.5972, 0.4028, 0.0000], [0.4028, 0.5972, 0.0000]],
  "magnetic_moment_mub_per_fu": 0.00,
  "crystal_system": "orthorhombic",
  "energy_ev_per_fu": -15.3
}

No. 19
{
  "formula": "Te5C3",
  "functional": "PBE",
  "state": "optimized geometry",
  "lattice": [[-3.1759, 8.7260, -2.0073], [-6.1426, -4.9916, -5.2547], [-1.7710, -0.1381, 2.2014]],
  "species": ["C", "C", "C", "Te", "Te", "Te", "Te", "Te"],
  "fractional_positions": [[0.5000, 0.5000, 0.0000], [0.4417, 0.4417, 0.5000], [0.5583, 0.5583, 0.5000], [0.0000, 0.0000, 0.0000], [0.0000, 0.5000, 0.0000], [0.2080, 0.7920, 0.5000], [0.7920, 0.2080, 0.5000], [0.5000, 0.0000, 0.0000]],
  "magnetic_moment_mub_per_fu": 0.27,
  "crystal_system": "orthorhombic",
  "energy_ev_per_fu": -31.9
}

No. 20
{
  "formula": "TeC2",
  "functional": "PBE",
  "state": "optimized geometry",
  "lattice": [[-1.6614, -2.5010, 1.6811], [2.3525, -2.2761, -1.0612], [1.9003, 0.6427, 2.8341]],
  "species": ["Te", "C", "C"],
  "fractional_positions": [[0.0000, 0.0000, 0.0000], [0.0000, 0.5000, 0.5000], [0.5000, 0.0000, 0.5000]],
  "magnetic_moment_mub_per_fu": 0.00,
  "crystal_system": "tetragonal",
  "energy_ev_per_fu": -12.8
}

Computed volume (A^3/atom) in order:
19.96 25.57 23.47 19.98 13.93 18.45 23.77 31.79 21.77 12.77 12.36 19.42 22.97 22.20 17.08 19.60 20.79 15.55 31.56 13.71